[1]
AlOsRh2: PBEsol geometry, SCAN.

Calculated values
* symmetry: Cm, No. 8

```
data_AlOsRh2
_cell_length_a 2.722
_cell_length_b 4.620
_cell_length_c 4.637
_cell_angle_alpha 101.35
_cell_angle_beta 107.07
_cell_angle_gamma 90.00
_symmetry_space_group_name_H-M 'P 1'
_symmetry_Int_Tables_number 1
loop_
_symmetry_equiv_pos_as_xyz
'x,y,z'
loop_
_atom_site_label
_atom_site_fract_x
_atom_site_fract_y
_atom_site_fract_z
Rh1 0.004 0.023 0.008
Rh2 0.244 0.729 0.488
Os1 0.753 0.226 0.505
Al1 0.500 0.522 0.999
```

[2]
Al2OsRh: PBEsol geometry, SCAN.

Calculated values
* symmetry: P2/m, No. 10

```
data_Al2OsRh
_cell_length_a 2.761
_cell_length_b 4.012
_cell_length_c 5.035
_cell_angle_alpha 90.00
_cell_angle_beta 93.72
_cell_angle_gamma 90.00
_symmetry_space_group_name_H-M 'P 1'
_symmetry_Int_Tables_number 1
loop_
_symmetry_equiv_pos_as_xyz
'x,y,z'
loop_
_atom_site_label
_atom_site_fract_x
_atom_site_fract_y
_atom_site_fract_z
Os1 0.500 0.500 0.000
Rh1 0.000 0.500 0.500
Al1 0.800 0.000 0.753
Al2 0.200 0.000 0.247
```

| no. | density of states at the Fermi level (states/eV/atom) | ΔE_f (eV per atom) | total magnetic moment (μB per formula unit) |
| --- | --- | --- | --- |
| 1 | 0.8495 | -0.408 | 0.0 |
| 2 | 0.5696 | -0.516 | 0.0 |